This record from Alexandria via LeMat-Bulk describes a relaxed AlNi2Ir crystal. The functional is PBE.

Cell: 4.5510 4.5510 4.3258 Å, 76.85 76.85 35.33°
With the nearest neighbours (Å) after each atom.
Atoms (fractional coordinates):
Ni: 0.9983 0.9983 0.9982  6 Ni 2.55-2.76, 3 Al 2.57-2.66, 3 Ir 2.59-2.63
Al: 0.2500 0.2500 0.2500  4 Ir 2.57, 6 Ni 2.57-2.66, 2 Al 2.76
Ir: 0.7500 0.7500 0.7500  4 Al 2.57, 6 Ni 2.59-2.63, 2 Ir 2.76
Ni: 0.5017 0.5017 0.5018  6 Ni 2.55-2.76, 3 Al 2.57-2.66, 3 Ir 2.59-2.63

Computed properties:
**Symmetry**: C2/m
**Formation energy from the elements**: -0.35 eV per atom
**Spin magnetization**: 0.6 μB/cell
**VASP energy**: -6.39 eV/atom